The following is a DFT calculation (PBE-GGA) of a geometry-optimized Ca2SiP structure.

Values from the calculation:
**VASP energy**: -4.261 eV per atom
**Uncorrected formation energy**: -552 meV per atom

```
data_Ca2SiP
_space_group_name_H-M_alt 'I m m 2'
_space_group_IT_number 44
_cell_length_a 3.618
_cell_length_b 4.572
_cell_length_c 10.750
_cell_angle_alpha 90.00
_cell_angle_beta 90.00
_cell_angle_gamma 90.00
loop_
_space_group_symop_operation_xyz
'x,y,z'
'-x,-y,z'
'-x,y,z'
'x,-y,z'
'x+1/2,y+1/2,z+1/2'
'-x+1/2,-y+1/2,z+1/2'
'-x+1/2,y+1/2,z+1/2'
'x+1/2,-y+1/2,z+1/2'
loop_
_atom_site_label
_atom_site_fract_x
_atom_site_fract_y
_atom_site_fract_z
_atom_site_occupancy
Ca1 0.000 0.000 0.000 1
Ca2 0.000 0.500 0.230 1
Si1 0.000 0.000 0.439 1
P1 0.000 0.500 0.779 1
```

The following is a DFT calculation (PBE-GGA) of a geometry-optimized RbZn2PO structure.

Values from the calculation:
**VASP energy**: -1.468 eV per atom
**Uncorrected formation energy**: 1309 meV per atom

```
data_RbZn2PO
_space_group_name_H-M_alt 'P 4/m m m'
_space_group_IT_number 123
_space_group_name_Hall '-P 4 2'
_cell_length_a 7.567
_cell_length_b 7.567
_cell_length_c 6.555
_cell_angle_alpha 90.00
_cell_angle_beta 90.00
_cell_angle_gamma 90.00
loop_
_atom_site_label
_atom_site_fract_x
_atom_site_fract_y
_atom_site_fract_z
_atom_site_occupancy
Rb1 0.000 0.000 0.000 1
Zn1 0.000 0.500 0.000 1
P1 0.000 0.000 0.500 1
O1 0.500 0.500 0.500 1
```

The following is a DFT calculation (PBE-GGA) of a geometry-optimized PuUAs2Rh5 structure.

Values from the calculation:
**VASP energy**: -8.014 eV per atom
**ΔE_f**: -0.0495 eV per atom

```
data_PuUAs2Rh5
_space_group_name_H-M_alt 'P 4/m m m'
_space_group_IT_number 123
_space_group_name_Hall '-P 4 2'
_cell_length_a 3.968
_cell_length_b 3.968
_cell_length_c 12.701
_cell_angle_alpha 90.00
_cell_angle_beta 90.00
_cell_angle_gamma 90.00
loop_
_atom_site_label
_atom_site_fract_x
_atom_site_fract_y
_atom_site_fract_z
_atom_site_occupancy
Pu1 0.000 0.000 0.000 1
U1 0.500 0.500 0.500 1
As1 0.500 0.500 0.276 1
Rh1 0.000 0.500 0.163 1
Rh2 0.500 0.500 0.000 1
```

Question: Which formula does entry 1 have?
Answer: Ca2SiP

Please write out number 2 again, unchanged.
The following is a DFT calculation (PBE-GGA) of a geometry-optimized RbZn2PO structure.

Values from the calculation:
**VASP energy**: -1.468 eV per atom
**Uncorrected formation energy**: 1309 meV per atom

```
data_RbZn2PO
_space_group_name_H-M_alt 'P 4/m m m'
_space_group_IT_number 123
_space_group_name_Hall '-P 4 2'
_cell_length_a 7.567
_cell_length_b 7.567
_cell_length_c 6.555
_cell_angle_alpha 90.00
_cell_angle_beta 90.00
_cell_angle_gamma 90.00
loop_
_atom_site_label
_atom_site_fract_x
_atom_site_fract_y
_atom_site_fract_z
_atom_site_occupancy
Rb1 0.000 0.000 0.000 1
Zn1 0.000 0.500 0.000 1
P1 0.000 0.000 0.500 1
O1 0.500 0.500 0.500 1
```